Record 1
# Pr3NdHo6Tm2 | Alexandria via LeMat-Bulk | PBE | optimized geometry
data_Pr3NdHo6Tm2
_chemical_formula_sum 'Pr6 Nd2 Ho12 Tm4'
_cell_length_a 6.2069
_cell_length_b 10.7469
_cell_length_c 11.8213
_cell_angle_alpha 90.00
_cell_angle_beta 100.05
_cell_angle_gamma 90.00
_symmetry_space_group_name_H-M 'C 1 2/m 1'
_symmetry_Int_Tables_number 12
loop_
_symmetry_equiv_pos_as_xyz
'x,y,z'
'-x,-y,-z'
'-x,y,-z'
'x,-y,z'
'x+1/2,y+1/2,z'
'-x+1/2,-y+1/2,-z'
'-x+1/2,y+1/2,-z'
'x+1/2,-y+1/2,z'
loop_
_atom_site_label
_atom_site_type_symbol
_atom_site_fract_x
_atom_site_fract_y
_atom_site_fract_z
Pr1 Pr 0.0000 0.0000 0.0000
Pr2 Pr 0.0000 0.3331 0.0000
Nd1 Nd 0.0000 0.5000 0.5000
Ho1 Ho 0.2481 0.0000 0.7461
Ho2 Ho 0.2494 0.3330 0.7460
Tm1 Tm 0.0000 0.1668 0.5000
# **V**: 32.4 Å³ per atom
# **Formation enthalpy at 0 K**: 0.0212 eV per atom
# **Theoretical density**: 8.103 g/cm3



Record 2
# PrNdHo5Tm2 | Alexandria via LeMat-Bulk | PBE | optimized geometry
data_PrNdHo5Tm2
_chemical_formula_sum 'Pr4 Nd4 Ho20 Tm8'
_cell_length_a 5.6000
_cell_length_b 19.7958
_cell_length_c 10.5826
_cell_angle_alpha 90.00
_cell_angle_beta 90.00
_cell_angle_gamma 90.00
_symmetry_space_group_name_H-M 'C m c 21'
_symmetry_Int_Tables_number 36
loop_
_symmetry_equiv_pos_as_xyz
'x,y,z'
'-x,-y,z+1/2'
'-x,y,z'
'x,-y,z+1/2'
'x+1/2,y+1/2,z'
'-x+1/2,-y+1/2,z+1/2'
'-x+1/2,y+1/2,z'
'x+1/2,-y+1/2,z+1/2'
loop_
_atom_site_label
_atom_site_type_symbol
_atom_site_fract_x
_atom_site_fract_y
_atom_site_fract_z
Pr1 Pr 0.0000 0.0825 0.0000
Nd1 Nd 0.0000 0.2986 0.5644
Ho1 Ho 0.0000 0.0228 0.2870
Ho2 Ho 0.0000 0.1089 0.5758
Ho3 Ho 0.0000 0.2014 0.2611
Ho4 Ho 0.0000 0.2187 0.8619
Ho5 Ho 0.0000 0.4831 0.5787
Tm1 Tm 0.0000 0.3866 0.8724
Tm2 Tm 0.0000 0.3897 0.2868
# **V**: 32.6 Å³ per atom
# **Formation enthalpy at 0 K**: 0.1653 eV per atom
# **Theoretical density**: 8.197 g/cm3



Record 3
# PrNdHoTm | Alexandria via LeMat-Bulk | PBE | optimized geometry
data_PrNdHoTm
_chemical_formula_sum 'Pr4 Nd4 Ho4 Tm4'
_cell_length_a 8.1107
_cell_length_b 8.1107
_cell_length_c 8.1107
_cell_angle_alpha 90.00
_cell_angle_beta 90.00
_cell_angle_gamma 90.00
_symmetry_space_group_name_H-M 'F -4 3 m'
_symmetry_Int_Tables_number 216
_symmetry_space_group_name_Hall 'F -4 2 3'
loop_
_atom_site_label
_atom_site_type_symbol
_atom_site_fract_x
_atom_site_fract_y
_atom_site_fract_z
Pr1 Pr 0.0000 0.0000 0.0000
Nd1 Nd 0.0000 0.0000 0.5000
Ho1 Ho 0.2500 0.2500 0.2500
Tm1 Tm 0.2500 0.2500 0.7500
# **V**: 33.3 Å³ per atom
# **Formation enthalpy at 0 K**: 0.1000 eV per atom
# **Theoretical density**: 7.706 g/cm3
# **ΔE to the lowest computed polymorph**: 0 meV per atom



Record 4
# PrNdHoTm | Alexandria via LeMat-Bulk | PBE | optimized geometry
data_PrNdHoTm
_chemical_formula_sum 'Pr2 Nd2 Ho2 Tm2'
_cell_length_a 12.4545
_cell_length_b 5.8953
_cell_length_c 3.7935
_cell_angle_alpha 90.00
_cell_angle_beta 107.07
_cell_angle_gamma 90.00
_symmetry_space_group_name_H-M 'C 1 m 1'
_symmetry_Int_Tables_number 8
loop_
_symmetry_equiv_pos_as_xyz
'x,y,z'
'x,-y,z'
'x+1/2,y+1/2,z'
'x+1/2,-y+1/2,z'
loop_
_atom_site_label
_atom_site_type_symbol
_atom_site_fract_x
_atom_site_fract_y
_atom_site_fract_z
Pr1 Pr 0.0000 0.0000 0.0000
Nd1 Nd 0.2314 0.5000 0.1703
Ho1 Ho 0.2524 0.0000 0.7078
Tm1 Tm 0.4877 0.0000 0.4622
# **V**: 33.3 Å³ per atom
# **Formation enthalpy at 0 K**: 0.1036 eV per atom
# **Theoretical density**: 7.721 g/cm3
# **ΔE to the lowest computed polymorph**: 4 meV per atom



Record 5
# PrNd2Ho2Tm | Alexandria via LeMat-Bulk | PBE | optimized geometry
data_PrNd2Ho2Tm
_chemical_formula_sum 'Pr2 Nd4 Ho4 Tm2'
_cell_length_a 7.0584
_cell_length_b 5.6873
_cell_length_c 9.8555
_cell_angle_alpha 90.00
_cell_angle_beta 90.00
_cell_angle_gamma 90.00
_symmetry_space_group_name_H-M 'P m m a'
_symmetry_Int_Tables_number 51
loop_
_symmetry_equiv_pos_as_xyz
'x,y,z'
'-x,-y,-z'
'-x+1/2,-y,z'
'x+1/2,y,-z'
'x+1/2,-y,-z'
'-x+1/2,y,z'
'-x,y,-z'
'x,-y,z'
loop_
_atom_site_label
_atom_site_type_symbol
_atom_site_fract_x
_atom_site_fract_y
_atom_site_fract_z
Pr1 Pr 0.2500 0.0000 0.1546
Nd1 Nd 0.0000 0.0000 0.5000
Nd2 Nd 0.2500 0.5000 0.6786
Ho1 Ho 0.2500 0.0000 0.8281
Ho2 Ho 0.2500 0.5000 0.3371
Tm1 Tm 0.0000 0.5000 0.0000
# **V**: 33.0 Å³ per atom
# **Formation enthalpy at 0 K**: 0.0634 eV per atom
# **Theoretical density**: 7.792 g/cm3



Record 6
# PrNd3Ho6Tm2 | Alexandria via LeMat-Bulk | PBE | optimized geometry
data_PrNd3Ho6Tm2
_chemical_formula_sum 'Pr2 Nd6 Ho12 Tm4'
_cell_length_a 6.1932
_cell_length_b 10.7216
_cell_length_c 11.8106
_cell_angle_alpha 90.00
_cell_angle_beta 100.04
_cell_angle_gamma 90.00
_symmetry_space_group_name_H-M 'C 1 2/m 1'
_symmetry_Int_Tables_number 12
loop_
_symmetry_equiv_pos_as_xyz
'x,y,z'
'-x,-y,-z'
'-x,y,-z'
'x,-y,z'
'x+1/2,y+1/2,z'
'-x+1/2,-y+1/2,-z'
'-x+1/2,y+1/2,-z'
'x+1/2,-y+1/2,z'
loop_
_atom_site_label
_atom_site_type_symbol
_atom_site_fract_x
_atom_site_fract_y
_atom_site_fract_z
Pr1 Pr 0.0000 0.0000 0.0000
Nd1 Nd 0.0000 0.1669 0.5000
Nd2 Nd 0.0000 0.5000 0.5000
Ho1 Ho 0.2484 0.5000 0.2473
Ho2 Ho 0.2500 0.1671 0.2474
Tm1 Tm 0.0000 0.3332 0.0000
# **V**: 32.2 Å³ per atom
# **Formation enthalpy at 0 K**: 0.0196 eV per atom
# **Theoretical density**: 8.176 g/cm3